No. 1
Here is crystalline Fe2CuTc at its relaxed geometry from Alexandria. Energies are from GGA-PBEsol.

- Total magnetization: 0.3812 μB per atom
- Energy relative to the elements: 17 kJ/mol of atoms
- N(E_F): 4.34 states/eV/cell

a = 2.5186 Å, b = 2.5186 Å, c = 7.2703 Å
α = 90.00°, β = 90.00°, γ = 90.00°
Closest atoms and distances in Å follow each position.
Space group P4mm (No. 99)
Symmetry-distinct sites (fractional):
Fe 0.0000 0.0000 0.0000 [1 per cell]  8 Fe 2.42-2.52, 4 Cu 2.53
Fe 0.5000 0.5000 0.2250 [1 per cell]  8 Fe 2.42-2.52, 4 Tc 2.55
Cu 0.5000 0.5000 0.7519 [1 per cell]  4 Cu 2.52, 4 Fe 2.53, 4 Tc 2.68
Tc 0.0000 0.0000 0.4764 [1 per cell]  4 Tc 2.52, 4 Fe 2.55, 4 Cu 2.68

No. 2
Here is crystalline Fe2CuTc at its relaxed geometry from Alexandria. Energies are from GGA-PBEsol.

- Total magnetization: 0.7852 μB per atom
- Energy relative to the elements: 19 kJ/mol of atoms
- N(E_F): 12.58 states/eV/cell

a = 2.5570 Å, b = 2.5570 Å, c = 24.9383 Å
α = 90.00°, β = 90.00°, γ = 120.00°
Closest atoms and distances in Å follow each position.
Space group R3m (No. 160, hexagonal axes)
Symmetry-distinct sites (fractional):
Fe 0.0000 0.0000 0.0000 [3 per cell]  9 Fe 2.47-2.56, 3 Cu 2.53
Fe 0.0000 0.0000 0.2538 [3 per cell]  9 Fe 2.47-2.56, 3 Tc 2.49
Cu 0.0000 0.0000 0.7493 [3 per cell]  3 Fe 2.53, 6 Cu 2.56, 3 Tc 2.70
Tc 0.0000 0.0000 0.5066 [3 per cell]  3 Fe 2.49, 6 Tc 2.56, 3 Cu 2.70